Compound: GaNiTe2O8
Source: Alexandria via LeMat-Bulk
Functional: PBE+U
Structure: optimized geometry

Unit cell a=5.8323 b=5.8323 c=5.7518 alpha=90.00 beta=90.00 gamma=120.00
Fractional positions:
Ga: 0.0000 0.0000 0.0000
Ni: 0.0000 0.0000 0.5000
Te: 0.3333 0.6667 0.3026
Te: 0.6667 0.3333 0.6974
O: 0.1460 0.2920 0.2328
O: 0.1460 0.8540 0.2328
O: 0.2920 0.1460 0.7672
O: 0.3333 0.6667 0.6162
O: 0.6667 0.3333 0.3838
O: 0.7080 0.8540 0.2328
O: 0.8540 0.1460 0.7672
O: 0.8540 0.7080 0.7672

- Total magnetic moment: 1.9 μB per cell
- ρ: 5.014 g/cm3
- Raw total energy: -5.165 eV/atom
- Space group: No. 164
- Volume: 169.44 Å³/f.u.